Compound: SmSb12Os4
Source: Alexandria via LeMat-Bulk
Functional: GGA-PBEsol
Structure: relaxed

```
17
Lattice="8.052 0.000 0.000 -2.684 7.592 0.000 -2.684 -3.796 6.574" Properties=species:S:1:pos:R:3 pbc="T T T"
Sb -0.979 0.692 3.260
Os 4.026 0.000 0.000
Sb 0.979 3.169 1.030
Sb 3.663 3.104 3.315
Sb 2.662 -0.097 2.229
Sb -1.705 5.115 2.229
Sb 0.022 3.893 4.345
Sb 5.391 1.882 1.199
Os -1.342 -1.898 3.287
Sm 0.000 0.000 0.000
Sb -2.706 1.914 5.375
Sb 1.705 0.627 5.544
Os 1.342 1.898 3.287
Os -1.342 3.796 0.000
Sb -0.022 -1.816 5.544
Sb 4.389 -1.319 4.345
Sb 2.706 5.612 1.030
```

Computed properties:
Its magnetic moment is 0.00 μB/atom. Its total energy is -6.560 eV per atom. As for the space-group type: Im-3, No. 204. Its formation energy from raw total energies is -0.17 eV/atom.

Compound: SrSb3Os
Source: Alexandria via LeMat-Bulk
Functional: GGA-PBEsol
Structure: relaxed

```
5
Lattice="5.694 0.000 0.000 0.000 5.694 0.000 0.000 0.000 5.694" Properties=species:S:1:pos:R:3 pbc="T T T"
Sb 0.000 0.000 2.847
Sb 0.000 2.847 0.000
Os 2.847 2.847 2.847
Sb 2.847 0.000 0.000
Sr 0.000 0.000 0.000
```

Computed properties:
Its magnetic moment is 0.74 μB/atom. Its total energy is -3.329 eV per atom. As for the space-group type: Pm-3m, No. 221. Its formation energy from raw total energies is 2.22 eV/atom.

Compound: Sr3SbOs
Source: Alexandria via LeMat-Bulk
Functional: GGA-PBEsol
Structure: relaxed

```
5
Lattice="5.555 0.000 0.000 0.000 5.555 0.000 0.000 0.000 5.555" Properties=species:S:1:pos:R:3 pbc="T T T"
Sb 2.778 2.778 2.778
Os 0.000 0.000 0.000
Sr 0.000 2.778 0.000
Sr 0.000 0.000 2.778
Sr 2.778 0.000 0.000
```

Computed properties:
Its magnetic moment is 0.12 μB/atom. Its total energy is -4.268 eV per atom. As for the space-group type: Pm-3m, No. 221. Its formation energy from raw total energies is 0.19 eV/atom.

Compound: SrTiSb2Os
Source: Alexandria via LeMat-Bulk
Functional: GGA-PBEsol
Structure: relaxed

```
5
Lattice="4.639 0.000 0.000 0.000 5.222 0.000 0.000 0.000 5.222" Properties=species:S:1:pos:R:3 pbc="T T T"
Ti 0.000 0.000 0.000
Sr 2.319 2.611 2.611
Os 2.319 0.000 0.000
Sb 0.000 0.000 2.611
Sb 0.000 2.611 0.000
```

Computed properties:
Its magnetic moment is 0.00 μB/atom. Its total energy is -6.032 eV per atom. As for the space-group type: P4/mmm, No. 123. Its formation energy from raw total energies is 0.27 eV/atom.

Compound: Ta2SbOs
Source: Alexandria via LeMat-Bulk
Functional: GGA-PBEsol
Structure: relaxed

```
4
Lattice="2.955 0.000 0.000 0.000 4.223 0.000 0.000 0.000 5.474" Properties=species:S:1:pos:R:3 pbc="T T T"
Ta 0.000 0.000 4.156
Sb 1.478 2.111 2.737
Os 1.478 2.111 0.000
Ta 0.000 0.000 1.318
```

Computed properties:
Its magnetic moment is 0.00 μB/atom. Its total energy is -10.442 eV per atom. As for the space-group type: Pmmm, No. 47. Its formation energy from raw total energies is 0.03 eV/atom.

Compound: Ta2SbOs
Source: Alexandria via LeMat-Bulk
Functional: GGA-PBEsol
Structure: relaxed

```
4
Lattice="3.021 0.015 0.000 -0.043 3.020 0.000 0.000 0.000 7.719" Properties=species:S:1:pos:R:3 pbc="T T T"
Ta 0.000 0.000 5.567
Os 1.489 1.518 3.860
Ta 0.000 0.000 2.152
Sb 1.489 1.518 0.000
```

Computed properties:
Its magnetic moment is 0.00 μB/atom. Its total energy is -10.470 eV per atom. As for the space-group type: Cmmm, No. 65. Its formation energy from raw total energies is 0.00 eV/atom.